(1)
LiMg2Cl at its PBEsol-relaxed geometry. Source: Alexandria, functional meta-GGA SCAN.

Excess energy over the best structure of this formula in the dataset ... 0.58 eV per formula unit
Uncorrected formation energy ... -0.418 eV per atom
Fermi-level density of states ... 1.24 states/eV per cell
Space group ... I-42d, No. 122

CIF file:
```
data_LiMg2Cl
_cell_length_a 6.345
_cell_length_b 6.345
_cell_length_c 6.345
_cell_angle_alpha 101.89
_cell_angle_beta 101.89
_cell_angle_gamma 126.02
_space_group_name_H-M_alt 'P 1'
_space_group_IT_number 1
_space_group_name_Hall 'P 1'
loop_
_atom_site_label
_atom_site_type_symbol
_atom_site_fract_x
_atom_site_fract_y
_atom_site_fract_z
_atom_site_occupancy
Li1 Li 0.000 0.000 0.000 1
Li2 Li 0.750 0.250 0.500 1
Mg1 Mg 0.167 0.625 0.042 1
Mg2 Mg 0.375 0.417 0.542 1
Mg3 Mg 0.583 0.125 0.958 1
Mg4 Mg 0.875 0.833 0.458 1
Cl1 Cl 0.250 0.750 0.500 1
Cl2 Cl 0.500 0.500 0.000 1
```

---

(2)
LiMgCl at its PBEsol-relaxed geometry. Source: Alexandria, functional meta-GGA SCAN.

Uncorrected formation energy ... -0.943 eV per atom
Fermi-level density of states ... 0.47 states/eV per cell
Space group ... I4mm, No. 107

CIF file:
```
data_LiMgCl
_cell_length_a 6.628
_cell_length_b 6.628
_cell_length_c 6.628
_cell_angle_alpha 151.17
_cell_angle_beta 151.17
_cell_angle_gamma 41.22
_space_group_name_H-M_alt 'P 1'
_space_group_IT_number 1
_space_group_name_Hall 'P 1'
loop_
_atom_site_label
_atom_site_type_symbol
_atom_site_fract_x
_atom_site_fract_y
_atom_site_fract_z
_atom_site_occupancy
Li1 Li 0.000 0.000 0.000 1
Mg1 Mg 0.693 0.693 0.000 1
Cl1 Cl 0.462 0.462 0.000 1
```

---

(3)
Li2MgCl4 at its PBEsol-relaxed geometry. Source: Alexandria, functional meta-GGA SCAN.

Uncorrected formation energy ... -2.058 eV per atom
Fermi-level density of states ... 0.00 states/eV per cell
Space group ... Imma, No. 74

CIF file:
```
data_Li2MgCl4
_cell_length_a 7.318
_cell_length_b 7.318
_cell_length_c 7.318
_cell_angle_alpha 120.88
_cell_angle_beta 119.46
_cell_angle_gamma 89.71
_space_group_name_H-M_alt 'P 1'
_space_group_IT_number 1
_space_group_name_Hall 'P 1'
loop_
_atom_site_label
_atom_site_type_symbol
_atom_site_fract_x
_atom_site_fract_y
_atom_site_fract_z
_atom_site_occupancy
Li1 Li 0.000 0.000 0.500 1
Li2 Li 0.000 0.500 0.000 1
Li3 Li 0.390 0.140 0.250 1
Li4 Li 0.610 0.860 0.750 1
Mg1 Mg 0.000 0.500 0.500 1
Mg2 Mg 0.500 0.500 0.000 1
Cl1 Cl 0.222 0.737 0.485 1
Cl2 Cl 0.248 0.260 0.512 1
Cl3 Cl 0.248 0.263 0.985 1
Cl4 Cl 0.248 0.736 0.988 1
Cl5 Cl 0.752 0.264 0.012 1
Cl6 Cl 0.752 0.737 0.015 1
Cl7 Cl 0.752 0.740 0.488 1
Cl8 Cl 0.778 0.263 0.515 1
```

---

(4)
LiMg2Cl at its PBEsol-relaxed geometry. Source: Alexandria, functional meta-GGA SCAN.

Excess energy over the best structure of this formula in the dataset ... 0.00 eV per formula unit
Uncorrected formation energy ... -0.564 eV per atom
Fermi-level density of states ... 0.69 states/eV per cell
Space group ... R-3m, No. 166

CIF file:
```
data_LiMg2Cl
_cell_length_a 8.725
_cell_length_b 8.725
_cell_length_c 8.725
_cell_angle_alpha 22.03
_cell_angle_beta 22.03
_cell_angle_gamma 22.03
_space_group_name_H-M_alt 'P 1'
_space_group_IT_number 1
_space_group_name_Hall 'P 1'
loop_
_atom_site_label
_atom_site_type_symbol
_atom_site_fract_x
_atom_site_fract_y
_atom_site_fract_z
_atom_site_occupancy
Li1 Li 0.000 0.000 0.000 1
Mg1 Mg 0.245 0.245 0.245 1
Mg2 Mg 0.755 0.755 0.755 1
Cl1 Cl 0.500 0.500 0.500 1
```

---

(5)
Li2MgCl at its PBEsol-relaxed geometry. Source: Alexandria, functional meta-GGA SCAN.

Excess energy over the best structure of this formula in the dataset ... 0.94 eV per formula unit
Uncorrected formation energy ... -0.661 eV per atom
Fermi-level density of states ... 2.37 states/eV per cell
Space group ... I-42d, No. 122

CIF file:
```
data_Li2MgCl
_cell_length_a 6.082
_cell_length_b 6.082
_cell_length_c 6.082
_cell_angle_alpha 107.27
_cell_angle_beta 107.27
_cell_angle_gamma 113.97
_space_group_name_H-M_alt 'P 1'
_space_group_IT_number 1
_space_group_name_Hall 'P 1'
loop_
_atom_site_label
_atom_site_type_symbol
_atom_site_fract_x
_atom_site_fract_y
_atom_site_fract_z
_atom_site_occupancy
Li1 Li 0.049 0.625 0.924 1
Li2 Li 0.375 0.299 0.424 1
Li3 Li 0.701 0.125 0.076 1
Li4 Li 0.875 0.951 0.576 1
Mg1 Mg 0.250 0.750 0.500 1
Mg2 Mg 0.500 0.500 0.000 1
Cl1 Cl 0.000 0.000 0.000 1
Cl2 Cl 0.750 0.250 0.500 1
```

---

(6)
LiMgP2Cl at its PBEsol-relaxed geometry. Source: Alexandria, functional meta-GGA SCAN.

Excess energy over the best structure of this formula in the dataset ... 0.00 eV per formula unit
Uncorrected formation energy ... 0.029 eV per atom
Fermi-level density of states ... 1.93 states/eV per cell
Space group ... P4/mmm, No. 123

CIF file:
```
data_LiMgP2Cl
_cell_length_a 4.844
_cell_length_b 4.844
_cell_length_c 5.066
_cell_angle_alpha 90.00
_cell_angle_beta 90.00
_cell_angle_gamma 90.00
_space_group_name_H-M_alt 'P 1'
_space_group_IT_number 1
_space_group_name_Hall 'P 1'
loop_
_atom_site_label
_atom_site_type_symbol
_atom_site_fract_x
_atom_site_fract_y
_atom_site_fract_z
_atom_site_occupancy
Li1 Li 0.000 0.000 0.000 1
Mg1 Mg 0.500 0.500 0.500 1
P1 P 0.000 0.500 0.500 1
P2 P 0.500 0.000 0.500 1
Cl1 Cl 0.500 0.500 0.000 1
```

---

(7)
LiMgP2Cl at its PBEsol-relaxed geometry. Source: Alexandria, functional meta-GGA SCAN.

Excess energy over the best structure of this formula in the dataset ... 0.73 eV per formula unit
Uncorrected formation energy ... 0.176 eV per atom
Fermi-level density of states ... 3.27 states/eV per cell
Space group ... P4/mmm, No. 123

CIF file:
```
data_LiMgP2Cl
_cell_length_a 4.226
_cell_length_b 4.226
_cell_length_c 5.130
_cell_angle_alpha 90.00
_cell_angle_beta 90.00
_cell_angle_gamma 90.00
_space_group_name_H-M_alt 'P 1'
_space_group_IT_number 1
_space_group_name_Hall 'P 1'
loop_
_atom_site_label
_atom_site_type_symbol
_atom_site_fract_x
_atom_site_fract_y
_atom_site_fract_z
_atom_site_occupancy
Li1 Li 0.000 0.000 0.000 1
Mg1 Mg 0.500 0.500 0.500 1
P1 P 0.000 0.500 0.000 1
P2 P 0.500 0.000 0.000 1
Cl1 Cl 0.000 0.000 0.500 1
```

---

(8)
LiMgS2Cl at its PBEsol-relaxed geometry. Source: Alexandria, functional meta-GGA SCAN.

Uncorrected formation energy ... -0.432 eV per atom
Fermi-level density of states ... 1.13 states/eV per cell
Space group ... P4/mmm, No. 123

CIF file:
```
data_LiMgS2Cl
_cell_length_a 4.240
_cell_length_b 4.240
_cell_length_c 5.071
_cell_angle_alpha 90.00
_cell_angle_beta 90.00
_cell_angle_gamma 90.00
_space_group_name_H-M_alt 'P 1'
_space_group_IT_number 1
_space_group_name_Hall 'P 1'
loop_
_atom_site_label
_atom_site_type_symbol
_atom_site_fract_x
_atom_site_fract_y
_atom_site_fract_z
_atom_site_occupancy
Li1 Li 0.000 0.000 0.000 1
Mg1 Mg 0.500 0.500 0.500 1
S1 S 0.000 0.500 0.000 1
S2 S 0.500 0.000 0.000 1
Cl1 Cl 0.000 0.000 0.500 1
```